# 1
Here is an optimized crystal structure of CeSmZr from the Alexandria database. Energies are from PBE-GGA.

Its crystal system is tetragonal. The value obtained for the total magnetization is 0.483 μB per formula unit. Its formation energy is 0.125 eV/atom.

Cell and atoms, written as POSCAR:
```
CeSmZr
1.0
3.331 0.000 0.000
0.000 3.331 0.000
0.000 0.000 15.139
Ce Sm Zr
2 2 2
Cartesian
0.000 0.000 0.000
1.665 1.665 7.570
0.000 0.000 4.819
1.665 1.665 12.388
0.000 0.000 9.931
1.665 1.665 2.361
```

---

# 2
Here is an optimized crystal structure of Ce5PuPt from the Alexandria database. Energies are from PBE-GGA.

Its crystal system is monoclinic. The value obtained for the total magnetization is 0.000 μB per formula unit. Its formation energy is -0.220 eV/atom.

Cell and atoms, written as POSCAR:
```
Ce5PuPt
1.0
5.051 -3.666 0.000
5.051 3.666 0.000
-3.724 0.000 9.876
Ce Pu Pt
10 2 2
Cartesian
2.258 3.385 7.407
2.003 0.971 1.046
2.381 1.411 4.457
0.141 -0.971 5.984
5.859 1.411 0.481
0.519 -1.411 9.395
6.237 0.971 3.892
3.997 -1.411 5.419
4.375 -0.971 8.830
4.120 -3.385 2.469
0.000 0.000 0.000
-1.862 0.000 4.938
2.258 0.327 7.407
4.120 -0.327 2.469
```

---

Number 1: D(E_F) 1.894 states/eV/atom. Number 2: D(E_F) 1.872 states/eV/atom.